No. 1
# SmTmAlPd (PBE-GGA, optimized geometry)
data_SmTmAlPd
_cell_length_a 7.182
_cell_length_b 7.182
_cell_length_c 7.182
_cell_angle_alpha 90.00
_cell_angle_beta 90.00
_cell_angle_gamma 90.00
_space_group_name_H-M_alt 'F -4 3 m'
_space_group_IT_number 216
_space_group_name_Hall 'F -4 2 3'
loop_
_atom_site_label
_atom_site_fract_x
_atom_site_fract_y
_atom_site_fract_z
Sm1 0.000 0.000 0.000
Tm1 0.000 0.000 0.500
Al1 0.250 0.250 0.750
Pd1 0.250 0.250 0.250
# E_form: -0.55 eV per atom

***

No. 2
# LaSi2OsRh (PBE-GGA, optimized geometry)
data_LaSi2OsRh
_cell_length_a 4.201
_cell_length_b 4.201
_cell_length_c 10.131
_cell_angle_alpha 90.00
_cell_angle_beta 90.00
_cell_angle_gamma 90.00
_space_group_name_H-M_alt 'I -4 m 2'
_space_group_IT_number 119
_space_group_name_Hall 'I -4 -2'
loop_
_atom_site_label
_atom_site_fract_x
_atom_site_fract_y
_atom_site_fract_z
La1 0.000 0.000 0.000
Si1 0.000 0.000 0.368
Os1 0.000 0.500 0.750
Rh1 0.000 0.500 0.250
# formation energy without anion corrections: -4.55 eV/f.u.

***

No. 3
# In2AgMo (PBE-GGA, optimized geometry)
data_In2AgMo
_cell_length_a 3.021
_cell_length_b 4.964
_cell_length_c 5.137
_cell_angle_alpha 90.00
_cell_angle_beta 90.00
_cell_angle_gamma 90.00
_space_group_name_H-M_alt 'P m m 2'
_space_group_IT_number 25
loop_
_space_group_symop_operation_xyz
'x,y,z'
'-x,-y,z'
'-x,y,z'
'x,-y,z'
loop_
_atom_site_label
_atom_site_fract_x
_atom_site_fract_y
_atom_site_fract_z
In1 0.000 0.000 0.000
In2 0.000 0.500 0.414
Ag1 0.500 0.000 0.522
Mo1 0.500 0.500 0.906
# E above lowest polymorph: 31.4 meV per atom
# E_form: 0.28 eV per atom

***

No. 4
# In2Ag6Sn (PBE-GGA, optimized geometry)
data_In2Ag6Sn
_cell_length_a 5.268
_cell_length_b 7.946
_cell_length_c 9.307
_cell_angle_alpha 72.79
_cell_angle_beta 73.85
_cell_angle_gamma 88.12
_space_group_name_H-M_alt 'P -1'
_space_group_IT_number 2
loop_
_space_group_symop_operation_xyz
'x,y,z'
'-x,-y,-z'
loop_
_atom_site_label
_atom_site_fract_x
_atom_site_fract_y
_atom_site_fract_z
In1 0.060 0.464 0.218
In2 0.397 0.803 0.550
Ag1 0.061 0.312 0.554
Ag2 0.160 0.082 0.337
Ag3 0.176 0.255 0.996
Ag4 0.277 0.020 0.776
Ag5 0.394 0.643 0.887
Ag6 0.495 0.417 0.667
Sn1 0.266 0.862 0.116
# E above lowest polymorph: 0.0 meV per atom
# E_form: -0.01 eV per atom

***

| no. | total energy (eV/atom) | V (A^3/atom) |
| --- | --- | --- |
| 1 | -5.085 | 23.2 |
| 2 | -7.781 | 17.9 |
| 3 | -4.508 | 19.3 |
| 4 | -2.962 | 19.8 |